An optimized crystal structure of NpVAg2O6. Source: Alexandria, functional PBE with a Hubbard U.

Computed properties:
- spin magnetization (μB per cell) = 2.0
- symmetry = C2/m (12)
- raw total energy (eV per atom) = -7.245

CIF file:
```
data_NpVAg2O6
_symmetry_space_group_name_H-M 'P 1'
_symmetry_Int_Tables_number 1
_cell_length_a 5.611
_cell_length_b 5.611
_cell_length_c 5.547
_cell_angle_alpha 119.27
_cell_angle_beta 119.27
_cell_angle_gamma 61.77
loop_
_symmetry_equiv_pos_as_xyz
'x,y,z'
loop_
_atom_site_label
_atom_site_type_symbol
_atom_site_fract_x
_atom_site_fract_y
_atom_site_fract_z
Np1 Np 0.000 0.000 0.000
V1 V 0.500 0.500 0.500
Ag1 Ag 0.252 0.252 0.742
Ag2 Ag 0.748 0.748 0.258
O1 O 0.214 0.697 0.694
O2 O 0.254 0.254 0.166
O3 O 0.303 0.786 0.306
O4 O 0.697 0.214 0.694
O5 O 0.746 0.746 0.834
O6 O 0.786 0.303 0.306
```